{
  "formula": "Hf2TcAsIr",
  "functional": "GGA-PBE",
  "state": "relaxed",
  "volume_a3_per_atom": 21.11,
  "final_energy_ev_per_atom": -8.086,
  "cell": [[4.873, 0.000, 0.000], [0.000, 4.873, 0.000], [0.000, 0.000, 4.445]],
  "species": ["Hf", "Hf", "Tc", "As", "Ir"],
  "frac_coords": [[0.000, 0.500, 0.000], [0.500, 0.000, 0.000], [0.000, 0.000, 0.500], [0.500, 0.500, 0.000], [0.500, 0.500, 0.500]]
}

=====

{
  "formula": "HfTh2As3Ir4",
  "functional": "GGA-PBE",
  "state": "relaxed",
  "volume_a3_per_atom": 19.30,
  "final_energy_ev_per_atom": -8.252,
  "cell": [[4.170, 0.000, 0.000], [0.000, 4.170, 0.000], [0.000, 0.000, 11.100]],
  "species": ["Hf", "Th", "Th", "As", "As", "As", "Ir", "Ir", "Ir", "Ir"],
  "frac_coords": [[0.000, 0.000, 0.000], [0.000, 0.500, 0.729], [0.500, 0.000, 0.271], [0.000, 0.500, 0.366], [0.500, 0.000, 0.634], [0.500, 0.500, 0.000], [0.000, 0.000, 0.500], [0.000, 0.500, 0.145], [0.500, 0.000, 0.855], [0.500, 0.500, 0.500]]
}

=====

{
  "formula": "Hf2TlAsIr",
  "functional": "GGA-PBE",
  "state": "relaxed",
  "volume_a3_per_atom": 26.91,
  "final_energy_ev_per_atom": -5.629,
  "cell": [[5.240, 0.000, 0.000], [0.000, 5.240, 0.000], [0.000, 0.000, 4.901]],
  "species": ["Hf", "Hf", "Tl", "As", "Ir"],
  "frac_coords": [[0.000, 0.500, 0.000], [0.500, 0.000, 0.000], [0.000, 0.000, 0.000], [0.500, 0.500, 0.500], [0.000, 0.000, 0.500]]
}